Record 1
Material: RuPbSe2
Method: DFT, GGA-PBE
State: relaxed

formation energy without anion corrections	-5	meV/atom

Unit cell a=3.7016 b=3.7016 c=24.1470 alpha=90.00 beta=90.00 gamma=120.00
Closest atoms and distances in Å follow each position.
Space group R3m (No. 160, hexagonal axes)
One atom of each set of equivalent atoms:
1 Ru 0.0000 0.0000 0.0000  3 Se 2.43
2 Pb 0.0000 0.0000 0.2437  3 Se 2.77, 3 Ru 3.04
3 Se 0.0000 0.0000 0.5041  3 Pb 2.77
4 Se 0.0000 0.0000 0.7145  3 Ru 2.43

***

Record 2
Material: RuPbSe2
Method: DFT, GGA-PBE
State: relaxed

formation energy without anion corrections	-84	meV/atom

Unit cell a=4.3781 b=4.0424 c=6.1439 alpha=90.00 beta=108.77 gamma=90.00
Closest atoms and distances in Å follow each position.
Space group Pm (No. 6)
One atom of each set of equivalent atoms:
1 Ru 0.0000 0.0000 0.0000  4 Se 2.39-2.47
2 Pb 0.7725 0.5000 0.6063  2 Ru 3.06, 6 Se 3.07-3.35
3 Se 0.1050 0.5000 0.2186  2 Ru 2.39
4 Se 0.4098 0.0000 0.8099  2 Ru 2.44-2.47

***

Record 3
Material: RuPbSe2
Method: DFT, GGA-PBE
State: relaxed

formation energy without anion corrections	159	meV/atom

Unit cell a=3.1290 b=3.8874 c=7.0483 alpha=90.00 beta=90.00 gamma=90.00
Closest atoms and distances in Å follow each position.
Space group Pmm2 (No. 25)
One atom of each set of equivalent atoms:
1 Ru 0.0000 0.0000 0.0000  5 Se 2.57-2.60
2 Pb 0.5000 0.5000 0.6776  5 Se 3.00-3.33, 2 Pb 3.13
3 Se 0.0000 0.0000 0.3642  1 Ru 2.57
4 Se 0.5000 0.5000 0.1034  4 Ru 2.60

***

Record 4
Material: RuPb3Se
Method: DFT, GGA-PBE
State: relaxed

E above lowest polymorph	1046	meV/atom
formation energy without anion corrections	1066	meV/atom

Unit cell a=5.6030 b=5.6030 c=5.6030 alpha=90.00 beta=90.00 gamma=90.00
Closest atoms and distances in Å follow each position.
Space group Pm-3m (No. 221)
One atom of each set of equivalent atoms:
1 Ru 0.0000 0.0000 0.0000  12 Pb 3.96
2 Pb 0.0000 0.5000 0.5000  2 Se 2.80
3 Se 0.5000 0.5000 0.5000  6 Pb 2.80

***

Record 5
Material: RuPbSe2
Method: DFT, GGA-PBE
State: relaxed

formation energy without anion corrections	7	meV/atom

Unit cell a=3.5350 b=5.5250 c=9.7812 alpha=90.00 beta=90.00 gamma=90.00
Closest atoms and distances in Å follow each position.
Space group Immm (No. 71)
One atom of each set of equivalent atoms:
1 Ru 0.0000 0.0000 0.0000  4 Se 2.45
2 Pb 0.0000 0.0000 0.5000  4 Se 3.24, 4 Ru 3.28, 2 Pb 3.54
3 Se 0.0000 0.5000 0.3265  2 Ru 2.45

***

Record 6
Material: RuPbSe2
Method: DFT, GGA-PBE
State: relaxed

formation energy without anion corrections	-145	meV/atom

Unit cell a=3.6501 b=3.6501 c=26.2954 alpha=90.00 beta=90.00 gamma=120.00
Closest atoms and distances in Å follow each position.
Space group R-3m (No. 166, hexagonal axes)
One atom of each set of equivalent atoms:
1 Ru 0.0000 0.0000 0.0000  6 Se 2.49
2 Pb 0.0000 0.0000 0.5000  2 Se 3.05
3 Se 0.0000 0.0000 0.3840  3 Ru 2.49

***

Record 7
Material: RuPbSe2
Method: DFT, GGA-PBE
State: relaxed

formation energy without anion corrections	48	meV/atom

Unit cell a=3.2629 b=3.8698 c=14.1936 alpha=90.00 beta=90.00 gamma=90.00
Closest atoms and distances in Å follow each position.
Space group Imm2 (No. 44)
One atom of each set of equivalent atoms:
1 Ru 0.0000 0.0000 0.0000  6 Se 2.49-2.65
2 Pb 0.0000 0.5000 0.2738  6 Se 3.11-3.23, 2 Pb 3.26
3 Se 0.0000 0.0000 0.4454  4 Ru 2.65
4 Se 0.0000 0.5000 0.6326  2 Ru 2.49

***

Record 8
Material: SiRu2Pb
Method: DFT, GGA-PBE
State: relaxed

E above lowest polymorph	51	meV/atom
formation energy without anion corrections	36	meV/atom

Unit cell a=7.0340 b=3.0249 c=7.0404 alpha=90.00 beta=107.29 gamma=90.00
Closest atoms and distances in Å follow each position.
Space group C2/m (No. 12)
One atom of each set of equivalent atoms:
1 Si 0.0000 0.0000 0.0000  6 Ru 2.35-2.41
2 Ru 0.2382 0.0000 0.8272  3 Si 2.35-2.41
3 Pb 0.0000 0.5000 0.5000  4 Ru 2.85, 2 Pb 3.02

***

Record 9
Material: SiRuPb2
Method: DFT, GGA-PBE
State: relaxed

formation energy without anion corrections	283	meV/atom

Unit cell a=3.2268 b=4.5030 c=12.6009 alpha=90.00 beta=90.00 gamma=90.00
Closest atoms and distances in Å follow each position.
Space group Imm2 (No. 44)
One atom of each set of equivalent atoms:
1 Si 0.0000 0.0000 0.0000  2 Ru 2.37
2 Ru 0.0000 0.5000 0.3620  2 Si 2.37
3 Pb 0.0000 0.0000 0.6111  4 Si 3.10, 4 Pb 3.23-3.35
4 Pb 0.0000 0.5000 0.8082  4 Ru 2.85

***

Record 10
Material: Si4RuPb
Method: DFT, GGA-PBE
State: relaxed

formation energy without anion corrections	672	meV/atom

Unit cell a=7.4145 b=7.4145 c=7.4145 alpha=90.00 beta=90.00 gamma=90.00
Closest atoms and distances in Å follow each position.
Space group F-43m (No. 216)
One atom of each set of equivalent atoms:
1 Si 0.1238 0.1238 0.3762  6 Si 2.60-2.65
2 Ru 0.2500 0.2500 0.7500  12 Si 3.07, 4 Pb 3.21
3 Pb 0.0000 0.0000 0.0000  12 Si 3.08, 4 Ru 3.21

***

Record 11
Material: SiRu2Pb
Method: DFT, GGA-PBE
State: relaxed

E above lowest polymorph	454	meV/atom
formation energy without anion corrections	438	meV/atom

Unit cell a=3.0780 b=3.0780 c=25.5226 alpha=90.00 beta=90.00 gamma=120.00
Closest atoms and distances in Å follow each position.
Space group R3m (No. 160, hexagonal axes)
One atom of each set of equivalent atoms:
1 Si 0.0000 0.0000 0.0000  3 Ru 2.38
2 Ru 0.0000 0.0000 0.4788  9 Ru 2.78-3.08, 3 Pb 2.84
3 Ru 0.0000 0.0000 0.7286  3 Si 2.38
4 Pb 0.0000 0.0000 0.2324  3 Ru 2.84, 6 Pb 3.08, 3 Si 3.13

***

Record 12
Material: SiRu2Pb
Method: DFT, GGA-PBE
State: relaxed

E above lowest polymorph	507	meV/atom
formation energy without anion corrections	491	meV/atom

Unit cell a=3.2380 b=4.0899 c=5.0963 alpha=90.00 beta=90.00 gamma=90.00
Closest atoms and distances in Å follow each position.
Space group Pmmm (No. 47)
One atom of each set of equivalent atoms:
1 Si 0.0000 0.0000 0.0000  4 Ru 2.61
2 Ru 0.0000 0.5000 0.5000  4 Pb 2.61
3 Ru 0.5000 0.5000 0.0000  4 Si 2.61
4 Pb 0.5000 0.0000 0.5000  4 Ru 2.61

***

Ordered spin magnetization results: 0.0, 0.0, 0.0, 2.2, 0.0, 0.0, 0.0, 0.0, 0.0, 0.9, 0.7, 0.0; unit μB per formula unit.